# Sr2FeBiPbO6 (GGA+U, optimized geometry)
data_Sr2FeBiPbO6
_chemical_formula_sum 'Sr4 Fe2 Bi2 Pb2 O12'
_symmetry_space_group_name_H-M 'I 4 m m'
_symmetry_Int_Tables_number 107
_symmetry_space_group_name_Hall 'I 4 -2'
_cell_length_a 3.7827
_cell_length_b 3.7827
_cell_length_c 24.1891
_cell_angle_alpha 90.00
_cell_angle_beta 90.00
_cell_angle_gamma 90.00
loop_
_atom_site_label
_atom_site_fract_x
_atom_site_fract_y
_atom_site_fract_z
Sr1 0.0000 0.0000 0.0000
Sr2 0.0000 0.0000 0.1576
Fe1 0.0000 0.0000 0.5723
Bi1 0.0000 0.0000 0.7723
Pb1 0.0000 0.0000 0.3909
O1 0.0000 0.0000 0.2692
O2 0.0000 0.0000 0.4895
O3 0.0000 0.0000 0.6854
O4 0.0000 0.0000 0.8956
O5 0.0000 0.5000 0.0832
# energy = -5.9923 eV per atom
# N(E_F) = 0.10 states/eV/atom